[1]
# Al3AgF, optimized geometry, DFT GGA-PBEsol
data_Al3AgF
_cell_length_a 4.401
_cell_length_b 4.401
_cell_length_c 4.401
_cell_angle_alpha 90.00
_cell_angle_beta 90.00
_cell_angle_gamma 90.00
_symmetry_space_group_name_H-M 'P 1'
_symmetry_Int_Tables_number 1
loop_
_symmetry_equiv_pos_as_xyz
'x,y,z'
loop_
_atom_site_label
_atom_site_type_symbol
_atom_site_fract_x
_atom_site_fract_y
_atom_site_fract_z
Al1 Al 0.000 0.000 0.500
Al2 Al 0.000 0.500 0.000
Al3 Al 0.500 0.000 0.000
Ag1 Ag 0.500 0.500 0.500
F1 F 0.000 0.000 0.000
# energy relative to the elements, uncorrected	-129	meV/atom
# total moment	0.0000	μB per atom
# SG	Pm-3m
# D(E_F)	0.471	states/eV/atom

---

[2]
# AlInAgF2, optimized geometry, DFT GGA-PBEsol
data_AlInAgF2
_cell_length_a 3.736
_cell_length_b 3.736
_cell_length_c 6.040
_cell_angle_alpha 90.00
_cell_angle_beta 90.00
_cell_angle_gamma 90.00
_symmetry_space_group_name_H-M 'P 1'
_symmetry_Int_Tables_number 1
loop_
_symmetry_equiv_pos_as_xyz
'x,y,z'
loop_
_atom_site_label
_atom_site_type_symbol
_atom_site_fract_x
_atom_site_fract_y
_atom_site_fract_z
Al1 Al 0.000 0.000 0.000
F1 F 0.500 0.000 0.000
F2 F 0.000 0.500 0.000
In1 In 0.000 0.000 0.500
Ag1 Ag 0.500 0.500 0.500
# energy relative to the elements, uncorrected	-1399	meV/atom
# total moment	0.0795	μB per atom
# SG	P4/mmm
# D(E_F)	0.348	states/eV/atom

---

[3]
# AlAg2MoF, optimized geometry, DFT GGA-PBEsol
data_AlAg2MoF
_cell_length_a 3.836
_cell_length_b 5.116
_cell_length_c 5.116
_cell_angle_alpha 90.00
_cell_angle_beta 90.00
_cell_angle_gamma 90.00
_symmetry_space_group_name_H-M 'P 1'
_symmetry_Int_Tables_number 1
loop_
_symmetry_equiv_pos_as_xyz
'x,y,z'
loop_
_atom_site_label
_atom_site_type_symbol
_atom_site_fract_x
_atom_site_fract_y
_atom_site_fract_z
Ag1 Ag 0.000 0.500 0.000
Ag2 Ag 0.000 0.000 0.500
Mo1 Mo 0.000 0.000 0.000
Al1 Al 0.500 0.500 0.500
F1 F 0.500 0.000 0.000
# energy relative to the elements, uncorrected	503	meV/atom
# total moment	0.2737	μB per atom
# SG	P4/mmm
# D(E_F)	0.855	states/eV/atom

---

[4]
# AlAgNF2, optimized geometry, DFT GGA-PBEsol
data_AlAgNF2
_cell_length_a 3.932
_cell_length_b 4.329
_cell_length_c 4.329
_cell_angle_alpha 90.00
_cell_angle_beta 90.00
_cell_angle_gamma 90.00
_symmetry_space_group_name_H-M 'P 1'
_symmetry_Int_Tables_number 1
loop_
_symmetry_equiv_pos_as_xyz
'x,y,z'
loop_
_atom_site_label
_atom_site_type_symbol
_atom_site_fract_x
_atom_site_fract_y
_atom_site_fract_z
Al1 Al 0.500 0.500 0.500
N1 N 0.500 0.000 0.000
F1 F 0.000 0.000 0.500
F2 F 0.000 0.500 0.000
Ag1 Ag 0.000 0.000 0.000
# energy relative to the elements, uncorrected	42	meV/atom
# total moment	0.2474	μB per atom
# SG	P4/mmm
# D(E_F)	0.480	states/eV/atom